First-principles (GGA-PBE) data for a relaxed structure of CsBS2, as listed in Alexandria.

As for the space group: P4_2/mbc (135). The size of the total moment is 0.0 μB/cell. Its calculated density is 2.4 g cm⁻³. As for the relative energy among the computed polymorphs: 0.000 eV/atom.

a b c (Å): 10.915 10.915 9.633
angles (deg): 90.00 90.00 90.00
Fractional coordinates of all 32 atoms:
Cs: 0.249 0.251 0.250
Cs: 0.249 0.251 0.750
Cs: 0.251 0.751 0.250
Cs: 0.251 0.751 0.750
Cs: 0.749 0.249 0.250
Cs: 0.749 0.249 0.750
Cs: 0.751 0.749 0.250
Cs: 0.751 0.749 0.750
B: 0.001 0.890 0.000
B: 0.110 0.001 0.500
B: 0.390 0.501 0.500
B: 0.499 0.390 0.000
B: 0.501 0.610 0.000
B: 0.610 0.499 0.500
B: 0.890 0.999 0.500
B: 0.999 0.110 0.000
S: 0.001 0.730 0.000
S: 0.001 0.868 0.500
S: 0.132 0.001 0.000
S: 0.230 0.501 0.500
S: 0.270 0.001 0.500
S: 0.368 0.501 0.000
S: 0.499 0.230 0.000
S: 0.499 0.368 0.500
S: 0.501 0.632 0.500
S: 0.501 0.770 0.000
S: 0.632 0.499 0.000
S: 0.730 0.999 0.500
S: 0.770 0.499 0.500
S: 0.868 0.999 0.000
S: 0.999 0.132 0.500
S: 0.999 0.270 0.000

---

First-principles (GGA-PBE) data for a relaxed structure of TaMnSi2, as listed in Alexandria.

As for the space group: P2/m (10). The size of the total moment is 1.6 μB/cell. The calculated total energy is -32.86 eV/f.u. Its calculated density is 8.6 g cm⁻³.

a b c (Å): 2.839 3.927 5.071
angles (deg): 90.00 92.54 90.00
Fractional coordinates of all 4 atoms:
Ta: 0.000 0.000 0.000
Mn: 0.500 0.000 0.500
Si: 0.469 0.500 0.747
Si: 0.531 0.500 0.253

---

First-principles (GGA-PBE) data for a relaxed structure of TbAg3, as listed in Alexandria.

As for the space group: I4/mmm (139). The size of the total moment is 0.0 μB/cell. Its calculated density is 9.6 g cm⁻³. As for the relative energy among the computed polymorphs: 0.000 eV/atom. The formation energy comes out at -0.206 eV per atom.

a b c (Å): 5.169 5.169 5.169
angles (deg): 127.99 127.99 76.64
Fractional coordinates of all 4 atoms:
Tb: 0.000 0.000 0.000
Ag: 0.250 0.750 0.500
Ag: 0.500 0.500 0.000
Ag: 0.750 0.250 0.500

---

First-principles (GGA-PBE) data for a relaxed structure of TiS2Br, as listed in Alexandria.

As for the space group: I-42d (122). The size of the total moment is 1.8 μB/cell. Its calculated density is 2.8 g cm⁻³. As for the relative energy among the computed polymorphs: 0.314 eV/atom.

a b c (Å): 6.927 6.927 6.927
angles (deg): 122.79 122.79 85.24
Fractional coordinates of all 8 atoms:
Ti: 0.000 0.000 0.000
Ti: 0.750 0.250 0.500
S: 0.012 0.625 0.887
S: 0.375 0.262 0.387
S: 0.738 0.125 0.113
S: 0.875 0.988 0.613
Br: 0.250 0.750 0.500
Br: 0.500 0.500 0.000

---

First-principles (GGA-PBE) data for a relaxed structure of KBa2SrIr, as listed in Alexandria.

As for the space group: P4/mmm (123). The size of the total moment is 0.0 μB/cell. Its calculated density is 4.1 g cm⁻³. The formation energy comes out at -0.069 eV per atom.

a b c (Å): 6.288 6.288 6.116
angles (deg): 90.00 90.00 90.00
Fractional coordinates of all 5 atoms:
K: 0.000 0.000 0.000
Ba: 0.000 0.500 0.500
Ba: 0.500 0.000 0.500
Sr: 0.500 0.500 0.000
Ir: 0.500 0.500 0.500

---

First-principles (GGA-PBE) data for a relaxed structure of Np2GeB2Ru5, as listed in Alexandria.

As for the space group: P4/mbm (127). The size of the total moment is 10.7 μB/cell. Its calculated density is 12.6 g cm⁻³. The formation energy comes out at -0.361 eV per atom.

a b c (Å): 9.616 9.616 3.063
angles (deg): 90.00 90.00 90.00
Fractional coordinates of all 20 atoms:
Np: 0.177 0.323 0.000
Np: 0.323 0.823 0.000
Np: 0.677 0.177 0.000
Np: 0.823 0.677 0.000
Ge: 0.000 0.000 0.000
Ge: 0.500 0.500 0.000
B: 0.123 0.623 0.000
B: 0.377 0.123 0.000
B: 0.623 0.877 0.000
B: 0.877 0.377 0.000
Ru: 0.000 0.500 0.500
Ru: 0.069 0.784 0.500
Ru: 0.216 0.069 0.500
Ru: 0.284 0.569 0.500
Ru: 0.431 0.284 0.500
Ru: 0.500 0.000 0.500
Ru: 0.569 0.716 0.500
Ru: 0.716 0.431 0.500
Ru: 0.784 0.931 0.500
Ru: 0.931 0.216 0.500

---

First-principles (GGA-PBE) data for a relaxed structure of LiGdTm2, as listed in Alexandria.

As for the space group: Fm-3m (225). The size of the total moment is 7.2 μB/cell. Its calculated density is 7.4 g cm⁻³. As for the relative energy among the computed polymorphs: 0.114 eV/atom. The formation energy comes out at 0.200 eV per atom.

a b c (Å): 5.431 5.431 5.431
angles (deg): 60.00 60.00 60.00
Fractional coordinates of all 4 atoms:
Li: 0.000 0.000 0.000
Gd: 0.500 0.500 0.500
Tm: 0.250 0.250 0.250
Tm: 0.750 0.750 0.750

---

First-principles (GGA-PBE) data for a relaxed structure of SnSbAsBr2, as listed in Alexandria.

As for the space group: P4/mmm (123). The size of the total moment is 0.0 μB/cell. Its calculated density is 4.7 g cm⁻³. As for the relative energy among the computed polymorphs: 0.000 eV/atom.

a b c (Å): 5.495 5.495 5.519
angles (deg): 90.00 90.00 90.00
Fractional coordinates of all 5 atoms:
Sn: 0.000 0.000 0.000
Sb: 0.500 0.500 0.500
As: 0.500 0.500 0.000
Br: 0.000 0.500 0.500
Br: 0.500 0.000 0.500

---

First-principles (GGA-PBE) data for a relaxed structure of TaPSeBr2, as listed in Alexandria.

As for the space group: P4/mmm (123). The size of the total moment is 3.0 μB/cell. Its calculated density is 6.1 g cm⁻³. As for the relative energy among the computed polymorphs: 0.675 eV/atom.

a b c (Å): 4.885 4.885 5.114
angles (deg): 90.00 90.00 90.00
Fractional coordinates of all 5 atoms:
Ta: 0.000 0.000 0.000
P: 0.500 0.500 0.500
Se: 0.500 0.500 0.000
Br: 0.000 0.500 0.500
Br: 0.500 0.000 0.500

---

First-principles (GGA-PBE) data for a relaxed structure of Ac3Si8Pd3, as listed in Alexandria.

As for the space group: Immm (71). The size of the total moment is 0.0 μB/cell. The calculated total energy is -77.60 eV/f.u. Its calculated density is 7.3 g cm⁻³.

a b c (Å): 8.615 8.615 8.615
angles (deg): 152.71 102.88 83.59
Fractional coordinates of all 14 atoms:
Ac: 0.000 0.000 0.000
Ac: 0.293 0.293 0.000
Ac: 0.707 0.707 0.000
Si: 0.009 0.342 0.667
Si: 0.165 0.872 0.293
Si: 0.325 0.658 0.667
Si: 0.421 0.128 0.293
Si: 0.579 0.872 0.707
Si: 0.675 0.342 0.333
Si: 0.835 0.128 0.707
Si: 0.991 0.658 0.333
Pd: 0.300 0.500 0.800
Pd: 0.500 0.000 0.500
Pd: 0.700 0.500 0.200

---

First-principles (GGA-PBE) data for a relaxed structure of Sc6InAg5, as listed in Alexandria.

As for the space group: P2/m (10). The size of the total moment is 0.0 μB/cell. Its calculated density is 6.2 g cm⁻³. The formation energy comes out at -0.304 eV per atom.

a b c (Å): 4.857 7.019 7.677
angles (deg): 90.00 108.37 90.00
Fractional coordinates of all 12 atoms:
Sc: 0.000 0.240 0.000
Sc: 0.000 0.760 0.000
Sc: 0.330 0.246 0.661
Sc: 0.330 0.754 0.661
Sc: 0.670 0.246 0.339
Sc: 0.670 0.754 0.339
In: 0.500 0.500 0.000
Ag: 0.162 0.500 0.325
Ag: 0.167 0.000 0.333
Ag: 0.500 0.000 0.000
Ag: 0.833 0.000 0.667
Ag: 0.838 0.500 0.675

---

First-principles (GGA-PBE) data for a relaxed structure of ErPa4N5, as listed in Alexandria.

As for the space group: I4/m (87). The size of the total moment is 0.0 μB/cell. The calculated total energy is -100.71 eV/f.u. Its calculated density is 12.9 g cm⁻³.

a b c (Å): 6.037 6.037 6.037
angles (deg): 99.58 99.58 131.84
Fractional coordinates of all 10 atoms:
Er: 0.000 0.000 0.000
Pa: 0.201 0.601 0.802
Pa: 0.399 0.201 0.600
Pa: 0.601 0.799 0.400
Pa: 0.799 0.399 0.198
N: 0.100 0.297 0.398
N: 0.297 0.900 0.197
N: 0.500 0.500 0.000
N: 0.703 0.100 0.803
N: 0.900 0.703 0.602